# 1
Below is a relaxed structure of InGa2SnS6, with properties calculated at the PBE-GGA level.

Values from the calculation:
- E_form (uncorrected) (eV per atom) = -0.50
- space-group type = C2/c (15)
- magnetization (Bohr magnetons per cell) = 0.00
- mass density (g/cm3) = 4.1
- N(E_F) (states/eV/atom) = 0.2953

a = 6.5355 Å, b = 8.4885 Å, c = 8.4885 Å
α = 86.77°, β = 81.40°, γ = 81.40°
Last column: nearest neighbours and their distance in Å.
Fractional coordinates of all 20 atoms:
S1 0.3889 0.8822 0.3796  1 Ga 2.28
Ga1 0.2959 0.4012 0.2249  4 S 2.28-2.34
S2 0.8843 0.7146 0.5577  2 Ga 2.29-2.30
S3 0.8889 0.3796 0.8822  1 Ga 2.28
In1 0.2500 0.2784 0.7216  6 S 2.59-2.78
Ga2 0.7959 0.2249 0.4012  4 S 2.28-2.34
S4 0.8571 0.0257 0.2129  1 Ga 2.34
In2 0.7500 0.7216 0.2784  6 S 2.59-2.78
S5 0.3843 0.5577 0.7146  2 Ga 2.29-2.30
S6 0.6111 0.1178 0.6204  1 Ga 2.28
S7 0.6429 0.7871 0.9743  1 Ga 2.34
S8 0.1157 0.2854 0.4423  2 Ga 2.29-2.30
S9 0.3571 0.2129 0.0257  1 Ga 2.34
S10 0.1111 0.6204 0.1178  1 Ga 2.28
Sn1 0.7500 0.1004 0.8996  6 S 2.65-2.86
S11 0.1429 0.9743 0.7871  1 Ga 2.34
Ga3 0.7041 0.5988 0.7751  4 S 2.28-2.34
S12 0.6157 0.4423 0.2854  2 Ga 2.29-2.30
Ga4 0.2041 0.7751 0.5988  4 S 2.28-2.34
Sn2 0.2500 0.8996 0.1004  6 S 2.65-2.86

***

# 2
Below is a relaxed structure of CaAcDy2, with properties calculated at the PBE-GGA level.

Values from the calculation:
- space-group type = P4/mmm (123)
- calculated formation energy (eV per formula unit) = 0.5
- magnetization (Bohr magnetons per cell) = 0.00
- mass density (g/cm3) = 6.7
- N(E_F) (states/eV/atom) = 1.6028

a = 5.4281 Å, b = 5.1878 Å, c = 5.1878 Å
α = 90.00°, β = 90.00°, γ = 90.00°
Last column: nearest neighbours and their distance in Å.
Fractional coordinates of all 4 atoms:
Ca1 0.5000 0.0000 0.0000  4 Ac 3.67, 8 Dy 3.75
Dy1 0.0000 0.5000 0.0000  4 Dy 3.67, 4 Ac 3.75, 4 Ca 3.75
Ac1 0.5000 0.5000 0.5000  4 Ca 3.67, 8 Dy 3.75
Dy2 0.0000 0.0000 0.5000  4 Dy 3.67, 4 Ac 3.75, 4 Ca 3.75

***

# 3
Below is a relaxed structure of Ti4NbCo, with properties calculated at the PBE-GGA level.

Values from the calculation:
- space-group type = P2/m (10)
- calculated formation energy (eV per formula unit) = -0.6
- magnetization (Bohr magnetons per cell) = 0.51
- mass density (g/cm3) = 5.9
- N(E_F) (states/eV/atom) = 1.0678

a = 4.2030 Å, b = 4.2030 Å, c = 11.2600 Å
α = 100.71°, β = 100.72°, γ = 89.99°
Last column: nearest neighbours and their distance in Å.
Fractional coordinates of all 12 atoms:
Ti1 0.6540 0.1536 0.8089  8 Ti 2.81-2.97, 4 Nb 2.95-2.96
Ti2 0.5685 0.5683 0.6376  4 Co 2.58, 4 Ti 2.81
Nb1 0.2500 0.2500 0.0000  8 Ti 2.95-2.96, 4 Nb 2.97
Ti3 0.1540 0.6536 0.8089  8 Ti 2.81-2.97, 4 Nb 2.95-2.96
Ti4 0.0685 0.0683 0.6376  4 Co 2.58, 4 Ti 2.81
Ti5 0.8460 0.3464 0.1911  8 Ti 2.81-2.97, 4 Nb 2.95-2.96
Nb2 0.7500 0.7500 0.0000  8 Ti 2.95-2.96, 4 Nb 2.97
Ti6 0.3460 0.8464 0.1911  8 Ti 2.81-2.97, 4 Nb 2.95-2.96
Ti7 0.4315 0.4317 0.3624  4 Co 2.58, 4 Ti 2.81
Co1 0.5000 0.0000 0.5000  8 Ti 2.58
Ti8 0.9315 0.9317 0.3624  4 Co 2.58, 4 Ti 2.81
Co2 0.0000 0.5000 0.5000  8 Ti 2.58

***

# 4
Below is a relaxed structure of PaBF6, with properties calculated at the PBE-GGA level.

Values from the calculation:
- E_form (uncorrected) (eV per atom) = -2.73
- space-group type = C2/m (12)
- magnetization (Bohr magnetons per cell) = 2.00
- mass density (g/cm3) = 6.9
- N(E_F) (states/eV/atom) = 1.2074

a = 4.4774 Å, b = 4.4774 Å, c = 4.4840 Å
α = 99.28°, β = 99.28°, γ = 99.90°
Last column: nearest neighbours and their distance in Å.
Fractional coordinates of all 8 atoms:
F1 0.2360 0.5688 0.2372  1 B 1.63
F2 0.5688 0.2360 0.2372  1 B 1.63
F3 0.7631 0.7631 0.4282  1 B 1.63
Pa1 0.0000 0.0000 0.0000  12 F 2.56-2.64
F4 0.7640 0.4312 0.7628  1 B 1.63
F5 0.2369 0.2369 0.5718  1 B 1.63
F6 0.4312 0.7640 0.7628  1 B 1.63
B1 0.5000 0.5000 0.5000  6 F 1.63

***

# 5
Below is a relaxed structure of SrRe2As, with properties calculated at the PBE-GGA level.

Values from the calculation:
- space-group type = I4/mmm (139)
- calculated formation energy (eV per formula unit) = 3.8
- magnetization (Bohr magnetons per cell) = 0.00
- mass density (g/cm3) = 11.4
- N(E_F) (states/eV/atom) = 0.7514

a = 5.8340 Å, b = 5.8340 Å, c = 5.8340 Å
α = 140.99°, β = 140.99°, γ = 56.35°
Last column: nearest neighbours and their distance in Å.
Fractional coordinates of all 4 atoms:
Re1 0.5000 0.5000 0.0000  4 Re 2.75
Sr1 0.2500 0.7500 0.5000  4 As 2.75
As1 0.7500 0.2500 0.5000  4 Sr 2.75
Re2 0.0000 0.0000 0.0000  4 Re 2.75

***

# 6
Below is a relaxed structure of AgP2WCl, with properties calculated at the PBE-GGA level.

Values from the calculation:
- E_form (uncorrected) (eV per atom) = 0.43
- space-group type = P4/mmm (123)
- magnetization (Bohr magnetons per cell) = 0.00
- mass density (g/cm3) = 5.9
- N(E_F) (states/eV/atom) = 0.4913

a = 4.6962 Å, b = 4.6962 Å, c = 4.9557 Å
α = 90.00°, β = 90.00°, γ = 90.00°
Last column: nearest neighbours and their distance in Å.
Fractional coordinates of all 5 atoms:
W1 0.0000 0.0000 0.0000  4 P 2.35, 2 Cl 2.48
P1 0.0000 0.5000 0.0000  2 W 2.35
Cl1 0.0000 0.0000 0.5000  2 W 2.48
Ag1 0.5000 0.5000 0.5000  4 Cl 3.32, 8 P 3.41
P2 0.5000 0.0000 0.0000  2 W 2.35

***

# 7
Below is a relaxed structure of PaGeTe2, with properties calculated at the PBE-GGA level.

Values from the calculation:
- E_form (uncorrected) (eV per atom) = -0.29
- space-group type = P4/mmm (123)
- magnetization (Bohr magnetons per cell) = 1.12
- mass density (g/cm3) = 9.1
- N(E_F) (states/eV/atom) = 1.2462

a = 3.9193 Å, b = 5.0991 Å, c = 5.0991 Å
α = 90.00°, β = 90.00°, γ = 90.00°
Last column: nearest neighbours and their distance in Å.
Fractional coordinates of all 4 atoms:
Te1 0.0000 0.5000 0.0000  4 Ge 3.22, 4 Pa 3.22
Te2 0.0000 0.0000 0.5000  4 Ge 3.22, 4 Pa 3.22
Ge1 0.5000 0.5000 0.5000  8 Te 3.22
Pa1 0.5000 0.0000 0.0000  8 Te 3.22

***

# 8
Below is a relaxed structure of La7Zn2Sn2, with properties calculated at the PBE-GGA level.

Values from the calculation:
- space-group type = Cmmm (65)
- calculated formation energy (eV per formula unit) = -2.3
- magnetization (Bohr magnetons per cell) = 0.00
- mass density (g/cm3) = 6.1
- N(E_F) (states/eV/atom) = 1.1678

a = 7.2332 Å, b = 7.3557 Å, c = 7.2332 Å
α = 90.00°, β = 108.71°, γ = 90.00°
Last column: nearest neighbours and their distance in Å.
Fractional coordinates of all 11 atoms:
La1 0.5000 0.7612 0.5000  2 Zn 3.13, 2 Sn 3.36
La2 0.5000 0.2884 0.0000  2 Zn 3.01, 1 La 3.11
Zn1 0.2798 0.0000 0.7202  7 La 3.01-3.29
Sn1 0.8276 0.5000 0.8276  1 Sn 2.91
La3 0.0000 0.0000 0.0000  2 Zn 3.29
La4 0.0000 0.7116 0.5000  2 Zn 3.01, 1 La 3.11
Zn2 0.7202 0.0000 0.2798  7 La 3.01-3.29
La5 0.0000 0.2884 0.5000  2 Zn 3.01, 1 La 3.11
La6 0.5000 0.2388 0.5000  2 Zn 3.13, 2 Sn 3.36
Sn2 0.1724 0.5000 0.1724  1 Sn 2.91
La7 0.5000 0.7116 0.0000  2 Zn 3.01, 1 La 3.11

***

# 9
Below is a relaxed structure of Rb2Ba8LiSb6O2, with properties calculated at the PBE-GGA level.

Values from the calculation:
- E_form (uncorrected) (eV per atom) = -1.19
- space-group type = P1 (1)
- magnetization (Bohr magnetons per cell) = 0.91
- mass density (g/cm3) = 4.8
- N(E_F) (states/eV/atom) = 0.1012

a = 9.1963 Å, b = 9.3827 Å, c = 10.2655 Å
α = 113.86°, β = 114.43°, γ = 94.09°
Last column: nearest neighbours and their distance in Å.
Fractional coordinates of all 19 atoms:
Sb1 0.6165 0.1169 0.9931  1 Sb 2.91
Ba1 0.0139 0.4283 0.2820  1 O 2.72, 1 Li 2.83
Rb1 0.5122 0.5172 0.0118  4 Sb 3.49-3.89
Ba2 0.1991 0.0290 0.7141  1 O 2.84, 1 Li 3.12
Rb2 0.9927 0.9861 0.9847  5 Sb 3.59-3.99, 1 Ba 3.96
Ba3 0.3069 0.8066 0.2988  1 O 2.62
O1 0.2089 0.7414 0.4794  1 Li 1.94
Sb2 0.8856 0.6319 0.0180  1 Li 2.89
Ba4 0.4820 0.7018 0.6841  1 O 2.70
Sb3 0.7566 0.7650 0.4984  1 Li 2.97
O2 0.7570 0.2751 0.5082  4 Ba 2.54-2.59
Ba5 0.5052 0.3207 0.3074  1 O 2.59
Sb4 0.1371 0.3732 0.0004  6 Ba 3.39-3.78, 1 Sb 3.47, 2 Rb 3.55-3.69
Sb5 0.2606 0.2520 0.5053  6 Ba 3.53-3.84
Ba6 0.8052 0.0302 0.3207  1 O 2.54
Ba7 0.0106 0.5252 0.7097  1 O 2.55
Ba8 0.6980 0.2157 0.7082  1 O 2.57
Li1 0.9843 0.7471 0.3583  1 O 1.94
Sb6 0.3891 0.8954 0.0049  1 Sb 2.91

***

# 10
Below is a relaxed structure of AgGe2BiOs, with properties calculated at the PBE-GGA level.

Values from the calculation:
- space-group type = P4/mmm (123)
- calculated formation energy (eV per formula unit) = 8.9
- magnetization (Bohr magnetons per cell) = 1.06
- mass density (g/cm3) = 7.1
- N(E_F) (states/eV/atom) = 0.8381

a = 5.4721 Å, b = 5.0599 Å, c = 5.4721 Å
α = 90.00°, β = 90.00°, γ = 90.00°
Last column: nearest neighbours and their distance in Å.
Fractional coordinates of all 5 atoms:
Bi1 0.0000 0.0000 0.0000  2 Os 2.53, 4 Ge 2.74
Os1 0.0000 0.5000 0.0000  2 Bi 2.53
Ge1 0.5000 0.0000 0.0000  2 Bi 2.74
Ge2 0.0000 0.0000 0.5000  2 Bi 2.74
Ag1 0.5000 0.5000 0.5000  8 Ge 3.73, 4 Os 3.87

***

# 11
Below is a relaxed structure of YMo3Ir, with properties calculated at the PBE-GGA level.

Values from the calculation:
- space-group type = Pm-3m (221)
- calculated formation energy (eV per formula unit) = 13.4
- magnetization (Bohr magnetons per cell) = 0.00
- mass density (g/cm3) = 9.2
- N(E_F) (states/eV/atom) = 1.3221

a = 4.6770 Å, b = 4.6770 Å, c = 4.6770 Å
α = 90.00°, β = 90.00°, γ = 90.00°
Last column: nearest neighbours and their distance in Å.
Fractional coordinates of all 5 atoms:
Ir1 0.5000 0.5000 0.5000  12 Mo 3.31
Mo1 0.5000 0.0000 0.0000  2 Y 2.34
Y1 0.0000 0.0000 0.0000  6 Mo 2.34
Mo2 0.0000 0.0000 0.5000  2 Y 2.34
Mo3 0.0000 0.5000 0.0000  2 Y 2.34

***

# 12
Below is a relaxed structure of BaTe2Au, with properties calculated at the PBE-GGA level.

Values from the calculation:
- E_form (uncorrected) (eV per atom) = -0.62
- space-group type = R-3m (166)
- magnetization (Bohr magnetons per cell) = 0.00
- mass density (g/cm3) = 7.3
- N(E_F) (states/eV/atom) = 1.1308

a = 7.4562 Å, b = 7.4562 Å, c = 7.4562 Å
α = 36.97°, β = 36.97°, γ = 36.97°
Last column: nearest neighbours and their distance in Å.
Fractional coordinates of all 4 atoms:
Ba1 0.7500 0.7500 0.7500  6 Te 3.47
Te1 0.5197 0.5197 0.5197  3 Au 3.03
Te2 0.9803 0.9803 0.9803  3 Au 3.03
Au1 0.2500 0.2500 0.2500  6 Te 3.03

***

Question: The highest magnetization belongs to which entry?
Answer: PaBF6